Entry 1:
A plane-wave DFT calculation with PBE-GGA was carried out for LiTa2Te after structural relaxation.

The magnetic moment is 0.00 μB per formula unit. Its theoretical density is 11470 kg/m3. As for the raw total energy: -0.249 hartree per atom. The uncorrected formation energy comes out at 0.42 eV per atom.

The space group is P4/mmm (No. 123) and the conventional cell measures 3.523, 3.523 and 5.791 Å, with angles of 90.00, 90.00 and 90.00 degrees. The distinct sites, in fractional coordinates, are Li at (0.000, 0.000, 0.000), Ta at (0.500, 0.500, 0.237) and Te at (0.000, 0.000, 0.500).

=====

Entry 2:
A plane-wave DFT calculation with PBE-GGA was carried out for ScBi2WN after structural relaxation.

The magnetic moment is 0.00 μB per formula unit. Its theoretical density is 10400 kg/m3. As for the raw total energy: -0.252 hartree per atom. The uncorrected formation energy comes out at 0.21 eV per atom.

The space group is P4/mmm (No. 123) and the conventional cell measures 5.200, 5.200 and 3.902 Å, with angles of 90.00, 90.00 and 90.00 degrees. The distinct sites, in fractional coordinates, are Sc at (0.000, 0.000, 0.000), Bi at (0.000, 0.500, 0.500), W at (0.500, 0.500, 0.000) and N at (0.500, 0.500, 0.500).

=====

Entry 3:
A plane-wave DFT calculation with PBE-GGA was carried out for La3Sm2Ir2 after structural relaxation.

The magnetic moment is 0.00 μB per formula unit. The calculation puts the energy of formation at -0.5218 eV/atom. Its theoretical density is 8803 kg/m3. As for the raw total energy: -0.239 hartree per atom.

The space group is P-1 (No. 2) and the conventional cell measures 3.999, 6.577 and 8.819 Å, with angles of 71.88, 76.96 and 72.31 degrees. The distinct sites, in fractional coordinates, are La at (0.000, 0.000, 0.000), La at (0.115, 0.196, 0.575), Sm at (0.325, 0.537, 0.813) and Ir at (0.317, 0.119, 0.246).

=====

Entry 4:
A plane-wave DFT calculation with PBE-GGA was carried out for CeHoCo after structural relaxation.

The magnetic moment is 0.00 μB per formula unit. The calculation puts the energy of formation at -0.1566 eV/atom. Its theoretical density is 9055 kg/m3. As for the raw total energy: -0.222 hartree per atom. The calculation puts the energy above the most stable polymorph in this dataset at 0.00 eV/f.u.

The space group is P2_1/m (No. 11) and the conventional cell measures 4.915, 3.564 and 7.621 Å, with angles of 90.00, 90.13 and 90.00 degrees. The distinct sites, in fractional coordinates, are Ce at (0.250, 0.250, 0.058), Ho at (0.250, 0.750, 0.628) and Co at (0.250, 0.750, 0.273).

=====

Entry 5:
A plane-wave DFT calculation with PBE-GGA was carried out for NdY2Ga6 after structural relaxation.

The magnetic moment is 0.00 μB per formula unit. The calculation puts the energy of formation at -0.6648 eV/atom. Its theoretical density is 6292 kg/m3. As for the raw total energy: -0.171 hartree per atom. The calculation puts the energy above the most stable polymorph in this dataset at 0.00 eV/f.u.

The space group is P6/mmm (No. 191) and the conventional cell measures 7.3318, 7.3318 and 4.1971 Å, with angles of 90.00, 90.00 and 120.00 degrees. The distinct sites, in fractional coordinates, are Nd at (0.0000, 0.0000, 0.0000), Y at (0.3333, 0.6667, 0.0000) and Ga at (0.0000, 0.3344, 0.5000).

=====

Entry 6:
A plane-wave DFT calculation with PBE-GGA was carried out for Sc2NiPd after structural relaxation.

The magnetic moment is 0.00 μB per formula unit. The calculation puts the energy of formation at -0.6840 eV/atom. Its theoretical density is 6152 kg/m3. As for the raw total energy: -0.242 hartree per atom.

The space group is Fm-3m (No. 225) and the conventional cell measures 6.506, 6.506 and 6.506 Å, with angles of 90.00, 90.00 and 90.00 degrees. The distinct sites, in fractional coordinates, are Sc at (0.250, 0.250, 0.250), Ni at (0.000, 0.000, 0.000) and Pd at (0.000, 0.000, 0.500).

=====

Entry 7:
A plane-wave DFT calculation with PBE-GGA was carried out for Ta2NbHIr after structural relaxation.

The magnetic moment is 0.00 μB per formula unit. Its theoretical density is 15113 kg/m3. As for the raw total energy: -0.347 hartree per atom. The calculation puts the energy above the most stable polymorph in this dataset at 0.00 eV/f.u.

The space group is P4/mmm (No. 123) and the conventional cell measures 4.442, 4.442 and 3.608 Å, with angles of 90.00, 90.00 and 90.00 degrees. The distinct sites, in fractional coordinates, are Ta at (0.000, 0.500, 0.000), Nb at (0.000, 0.000, 0.500), H at (0.500, 0.500, 0.000) and Ir at (0.500, 0.500, 0.500).

=====

Entry 8:
A plane-wave DFT calculation with PBE-GGA was carried out for Li2Ca3Ag4 after structural relaxation.

The magnetic moment is 0.00 μB per formula unit. The calculation puts the energy of formation at -0.2451 eV/atom. Its theoretical density is 4371 kg/m3. As for the raw total energy: -0.096 hartree per atom. The calculation puts the energy above the most stable polymorph in this dataset at 0.11 eV/f.u.

The space group is C2/m (No. 12) and the conventional cell measures 10.967, 4.735 and 8.909 Å, with angles of 90.00, 111.76 and 90.00 degrees. The distinct sites, in fractional coordinates, are Li at (0.174, 0.000, 0.343), Ca at (0.000, 0.500, 0.000), Ca at (0.139, 0.000, 0.696), Ag at (0.081, 0.500, 0.406) and Ag at (0.222, 0.000, 0.069).